Entry w
A plane-wave DFT calculation with SCAN was carried out for a crystal of Sc2BeBr relaxed with PBEsol.

```
Sc2BeBr
1.0
1.666 0.962 9.047
-1.666 0.962 9.047
0.000 -1.923 9.047
Sc Be Br
2 1 1
direct
0.000 0.000 0.000
0.239 0.239 0.239
0.737 0.737 0.737
0.503 0.503 0.503
```

Calculated values
**Density of states at the Fermi level**: 2.80 states/eV per cell
**Symmetry**: R3m
**Total magnetic moment**: 1.0 μB per cell



Entry x
A plane-wave DFT calculation with SCAN was carried out for a crystal of Sc2BeBr relaxed with PBEsol.

```
Sc2BeBr
1.0
-1.923 1.923 4.965
1.923 -1.923 4.965
1.923 1.923 -4.965
Sc Be Br
2 1 1
direct
0.000 0.000 0.000
0.750 0.250 0.500
0.500 0.500 0.000
0.250 0.750 0.500
```

Calculated values
**Density of states at the Fermi level**: 3.51 states/eV per cell
**Symmetry**: I-4m2
**Total magnetic moment**: 0.0 μB per cell



Consider the structures shown above. The most stable of them is entry w.